1.
Below is a relaxed Ba2AlIn crystal, with properties calculated at the GGA-PBEsol level.

Values from the calculation:
For the energy relative to the elements, the calculation gives -269 meV/atom. The density comes out at 5.13 g cm⁻³. The crystal system is orthorhombic. The calculation puts the offset from the most stable computed form at 0.000 eV/atom.

Cell: 4.3872 5.7220 10.7484 Å, 90.00 90.00 90.00°
Space group Imm2 (No. 44)
Inequivalent atoms, fractional coordinates:
Ba1 0.0000 0.0000 0.0000 [2 per cell]
Ba2 0.0000 0.5000 0.1884 [2 per cell]
Al1 0.0000 0.5000 0.7651 [2 per cell]
In1 0.0000 0.0000 0.4168 [2 per cell]


2.
Below is a relaxed BaAlIn crystal, with properties calculated at the GGA-PBEsol level.

Values from the calculation:
For the energy relative to the elements, the calculation gives -304 meV/atom. The density comes out at 4.77 g cm⁻³. The crystal system is hexagonal.

Cell: 4.6738 4.6738 5.1360 Å, 90.00 90.00 120.00°
Space group P-6m2 (No. 187)
Inequivalent atoms, fractional coordinates:
Ba1 0.0000 0.0000 0.0000 [1 per cell]
Al1 0.6667 0.3333 0.5000 [1 per cell]
In1 0.3333 0.6667 0.5000 [1 per cell]


3.
Below is a relaxed BaAl2In crystal, with properties calculated at the GGA-PBEsol level.

Values from the calculation:
For the energy relative to the elements, the calculation gives -72 meV/atom. The density comes out at 4.70 g cm⁻³. The crystal system is monoclinic.

Cell: 3.5515 4.4174 7.1091 Å, 90.00 104.27 90.00°
Space group Pm (No. 6)
Inequivalent atoms, fractional coordinates:
Ba1 0.0000 0.0000 0.0000 [1 per cell]
Al1 0.2595 0.0000 0.5134 [1 per cell]
Al2 0.3606 0.5000 0.7165 [1 per cell]
In1 0.6785 0.5000 0.3551 [1 per cell]